Here is CaLa3Pb after structural relaxation from Alexandria via LeMat-Bulk. Energies are from PBEsol.

- DOS at the Fermi energy: 10.98 states/eV per cell
- Energy: -4.2247 eV/atom
- M_tot: 0.203 μB/atom

Cell: 6.113 6.113 6.113 Å, 90.00 90.00 90.00°
Fractional coordinates of all 5 atoms:
Ca 0.000 0.000 0.000
La 0.000 0.500 0.500
La 0.500 0.000 0.500
La 0.500 0.500 0.000
Pb 0.500 0.500 0.500